[1]
DFT (PBE) results for a geometry-optimized KSmPt10 structure.

## Properties
Magnetization = 0.000 μB per formula unit
SG = No. 47
Energy of formation = -0.417 eV per atom

```
KSmPt10
1.0
4.3954 0.0000 0.0000
0.0000 5.4764 0.0000
0.0000 0.0000 9.4006
Pt Sm K
10 1 1
direct
0.0000 0.5000 0.8292
0.5000 0.0000 0.5000
0.5000 0.7463 0.2561
0.0000 0.0000 0.3368
0.0000 0.5000 0.1708
0.5000 0.5000 0.0000
0.5000 0.2537 0.2561
0.5000 0.2537 0.7439
0.0000 0.0000 0.6632
0.5000 0.7463 0.7439
0.0000 0.5000 0.5000
0.0000 0.0000 0.0000
```


[2]
DFT (PBE) results for a geometry-optimized KSm2Pt structure.

## Properties
Magnetization = 0.000 μB per formula unit
SG = No. 166
Energy of formation = -0.430 eV per atom

```
KSm2Pt
1.0
4.2498 0.0000 0.0000
2.1249 3.6804 0.0000
2.1249 1.2268 11.1986
K Sm Pt
1 2 1
direct
0.0000 0.0000 0.0000
0.1238 0.1238 0.6286
0.8762 0.8762 0.3714
0.5000 0.5000 0.5000
```


[3]
DFT (PBE) results for a geometry-optimized KSn2Pt2 structure.

## Properties
Magnetization = 0.000 μB per formula unit
SG = No. 12
Energy of formation = -0.466 eV per atom
Energy above the most stable polymorph in this dataset = 0 meV/atom

```
KSn2Pt2
1.0
-0.9548 -4.3401 1.2271
2.7434 -1.7098 -3.9128
3.9134 2.7092 3.9667
Pt Sn K
2 2 1
direct
0.2513 0.8302 0.5025
0.7487 0.1698 0.4975
0.3489 0.4062 0.6978
0.6511 0.5938 0.3022
0.0000 0.0000 0.0000
```


[4]
DFT (PBE) results for a geometry-optimized K3Sn4Pt2 structure.

## Properties
Magnetization = 0.000 μB per formula unit
SG = No. 12
Energy of formation = -0.367 eV per atom
Energy above the most stable polymorph in this dataset = 0 meV/atom

```
K3Sn4Pt2
1.0
-4.0331 1.9721 -0.3234
-0.6691 -5.8110 4.2329
3.2647 7.5229 5.1603
Sn Pt K
4 2 3
direct
0.7073 0.4147 0.0794
0.0790 0.1580 0.6500
0.9210 0.8420 0.3500
0.2927 0.5853 0.9206
0.3282 0.6565 0.2163
0.6718 0.3435 0.7837
0.0000 0.0000 0.0000
0.3687 0.7374 0.6156
0.6313 0.2626 0.3844
```


> Which formula does entry 1 have?

KSmPt10